1.
An optimized crystal structure of La2AlCd, computed with PBE.

DOS at the Fermi energy	2.0309	states/eV per atom
space group	F-43m
E	-3.594	eV/atom

```
La2AlCd
1.0
-1.533 -3.544 3.703
-0.306 -5.197 -1.235
3.550 -3.447 2.036
Cd Al La
1 1 2
Cartesian
1.283 -9.141 3.378 Cd
0.855 -6.094 2.252 Al
0.000 0.000 0.000 La
0.428 -3.047 1.126 La
```

---

2.
An optimized crystal structure of La3Al2Cd, computed with PBE.

DOS at the Fermi energy	1.1049	states/eV per atom
space group	P-3m1
E	-4.203	eV/atom

```
La3Al2Cd
1.0
5.447 0.000 0.000
-2.724 4.717 0.000
0.000 0.000 13.359
La Al Cd
6 4 2
Cartesian
0.000 3.145 5.564 La
2.724 1.572 1.034 La
0.000 0.000 10.111 La
0.000 0.000 3.248 La
0.000 3.145 12.325 La
2.724 1.572 7.795 La
0.000 0.000 6.679 Al
0.000 3.145 2.270 Al
2.724 1.572 11.088 Al
0.000 0.000 0.000 Al
0.000 3.145 8.957 Cd
2.724 1.572 4.402 Cd
```

---

3.
An optimized crystal structure of La4AlCd, computed with PBE.

DOS at the Fermi energy	1.4614	states/eV per atom
space group	F-43m
E	-3.804	eV/atom

```
La4AlCd
1.0
-0.964 -5.433 -3.405
-1.536 -5.510 3.053
-5.973 -2.459 -0.558
La Al Cd
4 1 1
Cartesian
-3.667 -7.728 -2.023 La
-6.139 -6.261 -0.618 La
-3.950 -7.766 1.163 La
-3.192 -5.048 -0.343 La
-6.355 -10.051 -0.683 Al
0.000 0.000 0.000 Cd
```